Entry 1:
Material: Sr2GaSn3Pt4
Method: DFT, PBE
State: optimized geometry

Structure (POSCAR):
```
Sr2GaSn3Pt4
1.0
4.614 0.000 0.000
0.000 4.614 0.000
0.000 0.000 10.794
Sr Ga Sn Pt
2 1 3 4
direct
0.000 0.500 0.249
0.500 0.000 0.751
0.500 0.500 0.000
0.000 0.000 0.000
0.000 0.500 0.629
0.500 0.000 0.371
0.000 0.000 0.500
0.000 0.500 0.877
0.500 0.000 0.123
0.500 0.500 0.500
```

Summary:
formation energy from the elements: -77 kJ per mole of atoms
density of states at the Fermi level: 0.584 states/eV/atom
SG: P-4m2 (115)
E_tot: -5.053 eV per atom
total magnetic moment: 0.000 μB/atom

=====

Entry 2:
Material: Y2HoReO8
Method: DFT, PBE
State: optimized geometry

Structure (POSCAR):
```
Y2HoReO8
1.0
3.545 -3.599 0.000
3.545 3.599 0.000
0.000 0.000 6.738
Y Ho Re O
2 1 1 8
direct
0.000 0.000 0.248
0.000 0.000 0.752
0.500 0.500 0.000
0.500 0.500 0.500
0.195 0.195 0.000
0.232 0.232 0.500
0.320 0.680 0.292
0.320 0.680 0.708
0.680 0.320 0.292
0.680 0.320 0.708
0.768 0.768 0.500
0.805 0.805 0.000
```

Summary:
ΔE_f (raw): -2.7802 eV per atom
density of states at the Fermi level: 0.000 states/eV/atom
SG: Cmmm (65)
E_tot: -8.582 eV per atom
total magnetic moment: 0.000 μB/atom

=====

Entry 3:
Material: Ba4Hg2PtI
Method: DFT, PBE
State: optimized geometry

Structure (POSCAR):
```
Ba4Hg2PtI
1.0
8.516 0.000 0.000
0.000 4.728 0.000
-2.571 0.000 8.534
Ba Hg Pt I
4 2 1 1
direct
0.218 0.000 0.204
0.241 0.500 0.785
0.759 0.500 0.215
0.782 0.000 0.796
0.500 0.000 0.000
0.500 0.500 0.500
0.000 0.500 0.000
0.000 0.000 0.500
```

Summary:
ΔE_f (raw): -0.7355 eV per atom
density of states at the Fermi level: 0.741 states/eV/atom
SG: P2/m (10)
E_tot: -2.721 eV per atom
total magnetic moment: 0.000 μB/atom

=====

Entry 4:
Material: MgCoCu2
Method: DFT, PBE
State: optimized geometry

Structure (POSCAR):
```
MgCoCu2
1.0
3.736 0.000 0.000
0.000 3.736 0.000
0.000 0.000 3.702
Mg Co Cu
1 1 2
direct
0.000 0.000 0.000
0.500 0.500 0.000
0.000 0.500 0.500
0.500 0.000 0.500
```

Summary:
formation energy from the elements: 6 kJ per mole of atoms
density of states at the Fermi level: 0.512 states/eV/atom
SG: P4/mmm (123)
E_tot: -4.163 eV per atom
total magnetic moment: 0.241 μB/atom

=====

Entry 5:
Material: Ba4Ag2H
Method: DFT, PBE
State: optimized geometry

Structure (POSCAR):
```
Ba4Ag2H
1.0
7.750 0.000 0.000
0.000 8.206 0.000
-2.718 0.000 8.815
Ba Ag H
8 4 2
direct
0.012 0.009 0.250
0.012 0.491 0.250
0.425 0.250 0.599
0.443 0.250 0.121
0.557 0.750 0.879
0.575 0.750 0.401
0.988 0.509 0.750
0.988 0.991 0.750
0.210 0.750 0.548
0.227 0.750 0.060
0.773 0.250 0.940
0.790 0.250 0.452
0.243 0.250 0.308
0.757 0.750 0.692
```

Summary:
offset from the most stable computed form: 0.00 kcal/mol of atoms
density of states at the Fermi level: 0.729 states/eV/atom
SG: P2_1/m (11)
E_tot: -2.625 eV per atom
total magnetic moment: 0.000 μB/atom

=====

Entry 6:
Material: KTl3
Method: DFT, PBE
State: optimized geometry

Structure (POSCAR):
```
KTl3
1.0
1.855 1.071 11.246
-1.855 1.071 11.246
0.000 -2.142 11.246
K Tl
1 3
direct
0.000 0.000 0.000
0.244 0.244 0.244
0.500 0.500 0.500
0.756 0.756 0.756
```

Summary:
formation energy from the elements: 2 kJ per mole of atoms
density of states at the Fermi level: 0.623 states/eV/atom
SG: R-3m (166)
E_tot: -2.031 eV per atom
total magnetic moment: 0.000 μB/atom